P2OsPb: relaxed, PBE.

Computed properties:
SG: Immm (71)

abc: 5.7689 5.7689 5.7689
angles: 149.73 119.33 69.30
Fractional coordinates of all 4 atoms:
P 0.0606 0.0606 0.0000
Pb 0.7500 0.2500 0.5000
Os 0.2500 0.7500 0.5000
P 0.4394 0.4394 0.0000


PPtS2Cl: relaxed, PBE.

Computed properties:
SG: P4/mmm (123)
Polymorph energy (0 for the lowest one) in eV per atom: 0.0000

abc: 4.7649 4.7649 4.7201
angles: 90.00 90.00 90.00
Fractional coordinates of all 5 atoms:
Pt 0.0000 0.0000 0.0000
P 0.0000 0.0000 0.5000
S 0.5000 0.0000 0.0000
S 0.0000 0.5000 0.0000
Cl 0.5000 0.5000 0.5000


Pr3NdSmDy: relaxed, PBE.

Computed properties:
SG: C2/m (12)

abc: 5.8926 10.8111 6.8768
angles: 90.90 90.00 105.81
Fractional coordinates of all 12 atoms:
Dy 0.3574 0.7148 0.5200
Pr 0.8394 0.6788 0.2438
Pr 0.5171 0.0341 0.7519
Nd 0.3520 0.7041 0.9729
Pr 0.4829 0.9659 0.2481
Sm 0.9420 0.8840 0.7396
Nd 0.6480 0.2959 0.0271
Pr 0.1606 0.3212 0.7562
Pr 0.2194 0.4388 0.2691
Dy 0.6426 0.2852 0.4800
Sm 0.0580 0.1160 0.2604
Pr 0.7806 0.5612 0.7309


Y5Mg4Al4: relaxed, PBE.

Computed properties:
SG: I4/m (87)

abc: 4.5002 8.7825 8.7825
angles: 86.24 75.16 75.16
Fractional coordinates of all 13 atoms:
Mg 0.8925 0.5227 0.6923
Al 0.2488 0.6868 0.8155
Y 0.6979 0.9273 0.6770
Mg 0.5848 0.3077 0.5227
Y 0.0000 0.0000 0.0000
Al 0.9356 0.8155 0.3132
Mg 0.1075 0.4773 0.3077
Al 0.0644 0.1845 0.6868
Y 0.3748 0.3230 0.9273
Mg 0.4152 0.6923 0.4773
Y 0.3021 0.0727 0.3230
Y 0.6252 0.6770 0.0727
Al 0.7512 0.3132 0.1845


Tb2TmScSb4: relaxed, PBE.

Computed properties:
SG: P2/m (10)

abc: 4.3337 7.5012 7.4937
angles: 109.49 90.00 90.00
Fractional coordinates of all 8 atoms:
Tb 0.5000 0.0000 0.5000
Tm 0.5000 0.5000 0.0000
Sc 0.0000 0.0000 0.0000
Sb 0.0000 0.2478 0.7583
Sb 0.5000 0.7590 0.7620
Tb 0.0000 0.5000 0.5000
Sb 0.5000 0.2410 0.2380
Sb 0.0000 0.7522 0.2417


CaTlPbO4: relaxed, PBE.

Computed properties:
SG: Imma (74)

abc: 7.0181 6.9328 6.8989
angles: 119.84 90.00 120.41
Fractional coordinates of all 14 atoms:
Pb 0.5000 0.5000 0.5000
O 0.2640 0.9827 0.7414
Tl 0.5000 0.0000 0.0000
O 0.7404 0.4808 0.7177
O 0.2813 0.0173 0.2586
Pb 0.0000 0.5000 0.5000
O 0.2596 0.5192 0.2823
O 0.7187 0.9827 0.7414
Tl 0.5000 0.0000 0.5000
O 0.7404 0.4808 0.2631
Ca 0.8761 0.7521 0.1261
Ca 0.1239 0.2479 0.8739
O 0.7360 0.0173 0.2586
O 0.2596 0.5192 0.7369


Number 1: electronic total energy -6.033 eV per atom. Number 2: electronic total energy -3.557 eV per atom. Number 3: electronic total energy -4.575 eV per atom. Number 4: electronic total energy -4.394 eV per atom. Number 5: electronic total energy -5.636 eV per atom. Number 6: electronic total energy -5.383 eV per atom.